# Th5Bi4H3

An optimized crystal structure of Th5Bi4H3 (GGA-PBE, Alexandria via LeMat-Bulk).

Results
**Energy**: -65.54 eV for the cell shown
**D(E_F)**: 0.582 states/eV per atom
**Symmetry**: C2/m, No. 12

Lattice parameters (Å, degrees): 8.7369 8.7369 9.1986 95.86 95.86 29.32
Fractional positions:
Th 0.0000 0.0000 0.0000
Th 0.3375 0.3375 0.9921
Th 0.3657 0.3657 0.5437
Th 0.6343 0.6343 0.4563
Th 0.6625 0.6625 0.0079
Bi 0.2215 0.2215 0.2686
Bi 0.4696 0.4696 0.2739
Bi 0.5304 0.5304 0.7261
Bi 0.7785 0.7785 0.7314
H 0.1328 0.1328 0.9490
H 0.5000 0.5000 0.0000
H 0.8672 0.8672 0.0510

# Th2BiH

An optimized crystal structure of Th2BiH (GGA-PBE, Alexandria via LeMat-Bulk).

Results
**Energy**: -69.18 eV for the cell shown
**D(E_F)**: 0.948 states/eV per atom
**Symmetry**: R-3m, No. 166
**Distance to the lowest polymorph of the same formula**: 117 meV/atom

Lattice parameters (Å, degrees): 3.9430 3.9430 22.6518 90.00 90.00 120.00
Fractional positions:
Th 0.0000 0.0000 0.2308
Th 0.0000 0.0000 0.7692
Th 0.3333 0.6667 0.4359
Th 0.3333 0.6667 0.8974
Th 0.6667 0.3333 0.1026
Th 0.6667 0.3333 0.5641
Bi 0.0000 0.0000 0.0000
Bi 0.3333 0.6667 0.6667
Bi 0.6667 0.3333 0.3333
H 0.0000 0.0000 0.5000
H 0.3333 0.6667 0.1667
H 0.6667 0.3333 0.8333